Record 1
## CsHfTe2N (PBE)

Data for a relaxed structure of CsHfTe2N.

## Properties
Final energy, eV/atom: -3.216
Volume, Å³ per atom: 31.30
ΔE_f (raw), eV/f.u.: 9.34
Space group: P4/mmm, No. 123

Unit cell a=6.0784 b=6.0784 c=4.2355 alpha=90.00 beta=90.00 gamma=90.00
Fractional coordinates of all 5 atoms:
N (0.0000, 0.0000, 0.5000)
Cs (0.0000, 0.0000, 0.0000)
Hf (0.5000, 0.5000, 0.5000)
Te (0.0000, 0.5000, 0.0000)
Te (0.5000, 0.0000, 0.0000)



Record 2
## BaCrTe2 (PBE)

Data for a relaxed structure of BaCrTe2.

## Properties
Final energy, eV/atom: -4.853
Volume, Å³ per atom: 30.49
ΔE_f (raw), eV/f.u.: -1.58
Space group: P4/mmm, No. 123

Unit cell a=3.8985 b=3.8985 c=8.0250 alpha=90.00 beta=90.00 gamma=90.00
Site moments in Bohr magnetons follow the coordinates.
Fractional coordinates of all 4 atoms:
Cr (0.5000, 0.5000, 0.7500)  3.92
Te (0.0000, 0.0000, 0.5367)  -0.14
Te (0.0000, 0.0000, 0.9633)  -0.14
Ba (0.5000, 0.5000, 0.2500)  0.03



Record 3
## HoTm6Sc (PBE)

Data for a relaxed structure of HoTm6Sc.

## Properties
Final energy, eV/atom: -4.503
ΔE_f, kJ/mol of formula units: 165
Volume, Å³ per atom: 29.86
Space group: C2/m, No. 12

Unit cell a=6.5174 b=6.5174 c=9.2789 alpha=110.24 beta=110.24 gamma=121.25
Fractional coordinates of all 8 atoms:
Tm (0.3285, 0.7821, 0.7541)
Tm (0.6715, 0.2179, 0.2459)
Tm (0.7810, 0.7810, 0.2481)
Tm (0.2179, 0.6715, 0.2459)
Tm (0.2190, 0.2190, 0.7519)
Tm (0.7821, 0.3285, 0.7541)
Sc (0.0000, 0.0000, 0.0000)
Ho (0.5000, 0.5000, 0.5000)